11
Lattice="9.469 -5.381 5.635 10.710 -5.464 2.411 4.289 7.651 1.455" Properties=species:S:1:pos:R:3 comment="Pr4Ho5Th2 (PBE, optimized geometry)" spacegroup=C2/m polymorph_energy_ev_per_fu=0.000 total_magnetization_mub_per_cell=0.00 crystal_system=monoclinic formation_energy_mev_per_atom=222.4 pbc="T T T"
Ho 18.423 -5.218 7.226
Ho 17.859 -8.665 7.097
Ho 6.608 5.472 2.403
Ho 6.044 2.025 2.275
Ho 10.089 -5.422 4.023
Pr 9.238 3.296 3.472
Pr 15.229 -6.489 6.029
Pr 2.954 1.153 1.107
Pr 21.514 -4.346 8.393
Th 20.768 -7.679 8.191
Th 3.700 4.486 1.309

***

4
Lattice="5.574 0.000 0.000 2.787 4.827 0.000 2.787 1.609 4.551" Properties=species:S:1:pos:R:3 comment="PrHoThTl (PBE, optimized geometry)" spacegroup=F-43m total_magnetization_mub_per_cell=0.00 crystal_system=cubic formation_energy_mev_per_atom=18.9 pbc="T T T"
Tl 0.000 0.000 0.000
Th 2.787 1.609 1.138
Pr 8.361 4.827 3.413
Ho 5.574 3.218 2.276

***

10
Lattice="6.677 0.000 0.000 0.000 6.683 0.000 0.000 -3.341 7.869" Properties=species:S:1:pos:R:3 comment="PrHoTmTh2 (PBE, optimized geometry)" spacegroup=Cmcm total_magnetization_mub_per_cell=0.00 crystal_system=orthorhombic formation_energy_mev_per_atom=425.1 pbc="T T T"
Tm 1.669 3.341 5.485
Tm 5.008 0.000 2.383
Ho 5.008 3.341 4.469
Ho 1.669 0.000 3.399
Pr 1.669 3.341 2.396
Pr 5.008 0.000 5.473
Th 0.000 1.624 0.000
Th 3.339 5.059 0.000
Th 3.339 1.624 0.000
Th 0.000 5.059 0.000

***

18
Lattice="-8.154 1.161 -3.357 1.304 -6.840 -5.533 0.621 -1.883 9.622" Properties=species:S:1:pos:R:3 comment="PrHo5TmTh2 (PBE, optimized geometry)" spacegroup=I4/mcm total_magnetization_mub_per_cell=0.01 crystal_system=tetragonal formation_energy_mev_per_atom=339.3 pbc="T T T"
Th -4.888 -0.092 -2.731
Th -0.468 -2.473 -2.509
Th -6.382 -3.206 -6.381
Th -1.962 -5.587 -6.159
Tm -5.479 -1.781 0.911
Tm -0.750 -5.781 -0.178
Ho -5.503 -5.894 -5.341
Ho 0.000 0.000 0.000
Ho -2.883 -2.373 -0.711
Ho -1.537 -5.892 -3.192
Ho -0.726 -1.668 6.074
Ho -3.346 -5.189 1.444
Ho -4.692 -1.670 3.925
Ho -3.425 -2.840 -4.445
Ho -6.849 -2.375 -2.861
Ho 0.620 -5.187 3.594
Pr -1.402 -2.361 2.589
Pr -4.827 -5.201 -1.856

***

Copy entry 1 word for word.
11
Lattice="9.469 -5.381 5.635 10.710 -5.464 2.411 4.289 7.651 1.455" Properties=species:S:1:pos:R:3 comment="Pr4Ho5Th2 (PBE, optimized geometry)" spacegroup=C2/m polymorph_energy_ev_per_fu=0.000 total_magnetization_mub_per_cell=0.00 crystal_system=monoclinic formation_energy_mev_per_atom=222.4 pbc="T T T"
Ho 18.423 -5.218 7.226
Ho 17.859 -8.665 7.097
Ho 6.608 5.472 2.403
Ho 6.044 2.025 2.275
Ho 10.089 -5.422 4.023
Pr 9.238 3.296 3.472
Pr 15.229 -6.489 6.029
Pr 2.954 1.153 1.107
Pr 21.514 -4.346 8.393
Th 20.768 -7.679 8.191
Th 3.700 4.486 1.309